[1]
Below is an optimized crystal structure of Sr2CdGa, with properties calculated at the GGA-PBE level.

**Symmetry**: No. 216
**Energy**: -1.904 eV per atom

abc: 5.516 5.516 5.516
angles: 60.00 60.00 60.00
Atoms (fractional coordinates):
Sr: 0.000 0.000 0.000
Sr: 0.250 0.250 0.250
Cd: 0.500 0.500 0.500
Ga: 0.750 0.750 0.750

[2]
Below is an optimized crystal structure of SrCdGa, with properties calculated at the GGA-PBE level.

**Symmetry**: No. 216
**Energy**: -1.692 eV per atom

abc: 5.242 5.242 5.242
angles: 60.00 60.00 60.00
Atoms (fractional coordinates):
Sr: 0.000 0.000 0.000
Cd: 0.750 0.750 0.750
Ga: 0.250 0.250 0.250

[3]
Below is an optimized crystal structure of SrCdGa2, with properties calculated at the GGA-PBE level.

**Symmetry**: No. 216
**Energy**: -2.343 eV per atom

abc: 5.154 5.154 5.154
angles: 60.00 60.00 60.00
Atoms (fractional coordinates):
Sr: 0.000 0.000 0.000
Cd: 0.250 0.250 0.250
Ga: 0.500 0.500 0.500
Ga: 0.750 0.750 0.750

[4]
Below is an optimized crystal structure of TaCdGa2, with properties calculated at the GGA-PBE level.

**Symmetry**: No. 216
**Energy**: -4.156 eV per atom

abc: 4.720 4.720 4.720
angles: 60.00 60.00 60.00
Atoms (fractional coordinates):
Ta: 0.000 0.000 0.000
Cd: 0.250 0.250 0.250
Ga: 0.500 0.500 0.500
Ga: 0.750 0.750 0.750

[5]
Below is an optimized crystal structure of Tb2Cd3Ga3, with properties calculated at the GGA-PBE level.

**Offset from the most stable computed form**: 14.9 meV per atom
**Symmetry**: No. 38
**Energy**: -3.001 eV per atom

abc: 4.809 6.446 6.446
angles: 59.79 90.00 90.00
Atoms (fractional coordinates):
Tb: 0.000 0.000 0.000
Tb: 0.500 0.335 0.335
Cd: 0.000 0.515 0.515
Cd: 0.500 0.356 0.836
Cd: 0.500 0.836 0.356
Ga: 0.000 0.521 0.988
Ga: 0.000 0.988 0.521
Ga: 0.500 0.833 0.833

[6]
Below is an optimized crystal structure of Tb2Cd3Ga3, with properties calculated at the GGA-PBE level.

**Offset from the most stable computed form**: 21.4 meV per atom
**Symmetry**: No. 187
**Energy**: -2.995 eV per atom

abc: 6.480 6.480 4.748
angles: 90.00 90.00 120.00
Atoms (fractional coordinates):
Tb: 0.000 0.000 0.000
Tb: 0.333 0.667 0.500
Cd: 0.508 0.016 0.000
Cd: 0.508 0.492 0.000
Cd: 0.984 0.492 0.000
Ga: 0.351 0.176 0.500
Ga: 0.824 0.176 0.500
Ga: 0.824 0.649 0.500

[7]
Below is an optimized crystal structure of Tb2CdGa5, with properties calculated at the GGA-PBE level.

**Symmetry**: No. 38
**Energy**: -3.636 eV per atom

abc: 4.599 6.332 6.332
angles: 60.77 90.00 90.00
Atoms (fractional coordinates):
Tb: 0.000 0.000 0.000
Tb: 0.500 0.324 0.324
Cd: 0.500 0.814 0.814
Ga: 0.000 0.510 0.956
Ga: 0.000 0.513 0.513
Ga: 0.000 0.956 0.510
Ga: 0.500 0.353 0.806
Ga: 0.500 0.806 0.353

[8]
Below is an optimized crystal structure of Tb2Cd3Ga3, with properties calculated at the GGA-PBE level.

**Offset from the most stable computed form**: 0.0 meV per atom
**Symmetry**: No. 6
**Energy**: -3.016 eV per atom

abc: 6.216 4.769 6.526
angles: 90.00 117.23 90.00
Atoms (fractional coordinates):
Tb: 0.000 0.000 0.000
Tb: 0.346 0.500 0.722
Cd: 0.358 0.500 0.219
Cd: 0.514 0.000 0.511
Cd: 0.848 0.500 0.222
Ga: 0.000 0.000 0.513
Ga: 0.524 0.000 0.048
Ga: 0.831 0.500 0.684

[9]
Below is an optimized crystal structure of Tb2Cd5Ga, with properties calculated at the GGA-PBE level.

**Symmetry**: No. 38
**Energy**: -2.416 eV per atom

abc: 4.882 6.588 6.588
angles: 58.84 90.00 90.00
Atoms (fractional coordinates):
Tb: 0.000 0.000 0.000
Tb: 0.500 0.341 0.341
Cd: 0.000 0.511 0.511
Cd: 0.000 0.512 0.993
Cd: 0.000 0.993 0.512
Cd: 0.500 0.352 0.835
Cd: 0.500 0.835 0.352
Ga: 0.500 0.840 0.840

[10]
Below is an optimized crystal structure of Tb2TmCd3Ga3, with properties calculated at the GGA-PBE level.

**Symmetry**: No. 38
**Energy**: -3.352 eV per atom

abc: 4.410 7.238 7.238
angles: 119.75 90.00 90.00
Atoms (fractional coordinates):
Tb: 0.000 0.213 0.787
Tb: 0.000 0.787 0.213
Tm: 0.000 0.361 0.361
Cd: 0.500 0.035 0.035
Cd: 0.500 0.538 0.786
Cd: 0.500 0.786 0.538
Ga: 0.000 0.784 0.784
Ga: 0.500 0.122 0.452
Ga: 0.500 0.452 0.122

[11]
Below is an optimized crystal structure of TbTm2Cd3Ga3, with properties calculated at the GGA-PBE level.

**Symmetry**: No. 38
**Energy**: -3.322 eV per atom

abc: 4.396 7.225 7.225
angles: 120.25 90.00 90.00
Atoms (fractional coordinates):
Tb: 0.000 0.000 0.000
Tm: 0.000 0.147 0.574
Tm: 0.000 0.574 0.147
Cd: 0.500 0.324 0.324
Cd: 0.500 0.573 0.822
Cd: 0.500 0.822 0.573
Ga: 0.000 0.571 0.571
Ga: 0.500 0.241 0.905
Ga: 0.500 0.905 0.241

[12]
Below is an optimized crystal structure of Cd2GaTc, with properties calculated at the GGA-PBE level.

**Symmetry**: No. 216
**Energy**: -3.429 eV per atom

abc: 4.618 4.618 4.618
angles: 60.00 60.00 60.00
Atoms (fractional coordinates):
Cd: 0.000 0.000 0.000
Cd: 0.250 0.250 0.250
Ga: 0.500 0.500 0.500
Tc: 0.750 0.750 0.750

[13]
Below is an optimized crystal structure of CdGaTc, with properties calculated at the GGA-PBE level.

**Offset from the most stable computed form**: 0.0 meV per atom
**Symmetry**: No. 216
**Energy**: -4.187 eV per atom

abc: 4.404 4.404 4.404
angles: 60.00 60.00 60.00
Atoms (fractional coordinates):
Cd: 0.000 0.000 0.000
Ga: 0.500 0.500 0.500
Tc: 0.250 0.250 0.250

[14]
Below is an optimized crystal structure of CdGa2Te2, with properties calculated at the GGA-PBE level.

**Symmetry**: No. 139
**Energy**: -2.635 eV per atom

abc: 6.037 6.037 6.037
angles: 130.56 130.56 72.51
Atoms (fractional coordinates):
Cd: 0.000 0.000 0.000
Ga: 0.372 0.372 0.000
Ga: 0.628 0.628 0.000
Te: 0.250 0.750 0.500
Te: 0.750 0.250 0.500

[15]
Below is an optimized crystal structure of CdGaTe2, with properties calculated at the GGA-PBE level.

**Symmetry**: No. 216
**Energy**: -2.400 eV per atom

abc: 5.307 5.307 5.307
angles: 60.00 60.00 60.00
Atoms (fractional coordinates):
Cd: 0.000 0.000 0.000
Ga: 0.750 0.750 0.750
Te: 0.250 0.250 0.250
Te: 0.500 0.500 0.500

[16]
Below is an optimized crystal structure of CdGa2Te4, with properties calculated at the GGA-PBE level.

**Symmetry**: No. 227
**Energy**: -2.989 eV per atom

abc: 8.476 8.476 8.476
angles: 60.00 60.00 60.00
Atoms (fractional coordinates):
Cd: 0.125 0.125 0.125
Cd: 0.875 0.875 0.875
Ga: 0.000 0.500 0.500
Ga: 0.500 0.000 0.500
Ga: 0.500 0.500 0.000
Ga: 0.500 0.500 0.500
Te: 0.262 0.262 0.262
Te: 0.262 0.262 0.714
Te: 0.262 0.714 0.262
Te: 0.286 0.738 0.738
Te: 0.714 0.262 0.262
Te: 0.738 0.286 0.738
Te: 0.738 0.738 0.286
Te: 0.738 0.738 0.738

[17]
Below is an optimized crystal structure of TmCdGa, with properties calculated at the GGA-PBE level.

**Symmetry**: No. 216
**Energy**: -3.169 eV per atom

abc: 4.666 4.666 4.666
angles: 60.00 60.00 60.00
Atoms (fractional coordinates):
Tm: 0.000 0.000 0.000
Cd: 0.500 0.500 0.500
Ga: 0.750 0.750 0.750

[18]
Below is an optimized crystal structure of TmCdGa, with properties calculated at the GGA-PBE level.

**Symmetry**: No. 216
**Energy**: -2.733 eV per atom

abc: 4.837 4.837 4.837
angles: 60.00 60.00 60.00
Atoms (fractional coordinates):
Tm: 0.000 0.000 0.000
Cd: 0.750 0.750 0.750
Ga: 0.250 0.250 0.250

[19]
Below is an optimized crystal structure of CdGaW, with properties calculated at the GGA-PBE level.

**Offset from the most stable computed form**: 297.2 meV per atom
**Symmetry**: No. 216
**Energy**: -4.269 eV per atom

abc: 4.467 4.467 4.467
angles: 60.00 60.00 60.00
Atoms (fractional coordinates):
Cd: 0.000 0.000 0.000
Ga: 0.750 0.750 0.750
W: 0.250 0.250 0.250

[20]
Below is an optimized crystal structure of CdGaW, with properties calculated at the GGA-PBE level.

**Offset from the most stable computed form**: 0.0 meV per atom
**Symmetry**: No. 216
**Energy**: -4.566 eV per atom

abc: 4.479 4.479 4.479
angles: 60.00 60.00 60.00
Atoms (fractional coordinates):
Cd: 0.000 0.000 0.000
Ga: 0.500 0.500 0.500
W: 0.250 0.250 0.250